[1]
## Mg2InAu2 (PBEsol)

Data for a geometry-optimized Mg2InAu2 structure.

Calculated values
DFT formation energy: -0.4742 eV per atom

a = 3.347 Å, b = 7.563 Å, c = 7.563 Å
α = 90.00°, β = 90.00°, γ = 90.00°
Positions (direct):
In (0.000, 0.000, 0.000)
Au (0.000, 0.862, 0.638)
Mg (0.500, 0.342, 0.158)
Mg (0.500, 0.658, 0.842)
Au (0.000, 0.362, 0.862)
Au (0.000, 0.138, 0.362)
Mg (0.500, 0.158, 0.658)
Au (0.000, 0.638, 0.138)
In (0.000, 0.500, 0.500)
Mg (0.500, 0.842, 0.342)

[2]
## MgIn2Au (PBEsol)

Data for a geometry-optimized MgIn2Au structure.

Calculated values
DFT formation energy: -0.1121 eV per atom

a = 3.372 Å, b = 4.926 Å, c = 5.993 Å
α = 113.82°, β = 105.72°, γ = 91.45°
Positions (direct):
Mg (0.500, 0.500, 0.000)
Au (0.000, 0.000, 0.000)
In (0.000, 0.000, 0.500)
In (0.500, 0.500, 0.500)

[3]
## MgIn2Au (PBEsol)

Data for a geometry-optimized MgIn2Au structure.

Calculated values
DFT formation energy: -0.1229 eV per atom

a = 4.927 Å, b = 4.927 Å, c = 4.927 Å
α = 60.00°, β = 60.00°, γ = 60.00°
Positions (direct):
In (0.000, 0.000, 0.000)
Mg (0.750, 0.750, 0.750)
Au (0.500, 0.500, 0.500)
In (0.250, 0.250, 0.250)

[4]
## MgNb2InAu (PBEsol)

Data for a geometry-optimized MgNb2InAu structure.

Calculated values
DFT formation energy: 1.2579 eV per atom

a = 4.606 Å, b = 4.779 Å, c = 4.779 Å
α = 90.00°, β = 90.00°, γ = 90.00°
Positions (direct):
Nb (0.000, 0.000, 0.500)
Nb (0.000, 0.500, 0.000)
In (0.500, 0.500, 0.500)
Au (0.500, 0.000, 0.000)
Mg (0.000, 0.000, 0.000)

[5]
## Mg2InPtAu (PBEsol)

Data for a geometry-optimized Mg2InPtAu structure.

Calculated values
DFT formation energy: 0.1946 eV per atom

a = 4.903 Å, b = 4.903 Å, c = 5.055 Å
α = 90.00°, β = 90.00°, γ = 90.00°
Positions (direct):
Au (0.000, 0.000, 0.000)
Mg (0.500, 0.000, 0.000)
In (0.500, 0.500, 0.500)
Mg (0.000, 0.500, 0.000)
Pt (0.000, 0.000, 0.500)

[6]
## MnIn3Au (PBEsol)

Data for a geometry-optimized MnIn3Au structure.

Calculated values
DFT formation energy: 0.4927 eV per atom

a = 4.954 Å, b = 4.954 Å, c = 4.954 Å
α = 90.00°, β = 90.00°, γ = 90.00°
Positions (direct):
In (0.000, 0.500, 0.000)
In (0.500, 0.000, 0.000)
Mn (0.000, 0.000, 0.000)
In (0.000, 0.000, 0.500)
Au (0.500, 0.500, 0.500)

Question: Look up the DFT formation energy of the fourth one.
Answer: 1.2579 eV per atom